[1]
Computed, not measured: a relaxed structure of YSb2 at the PBE level of DFT.

a b c (Å): 8.309 8.309 8.309
angles (deg): 156.67 156.67 33.23
Fractional coordinates of all 3 atoms:
Sb 0.358 0.358 0.000
Sb 0.642 0.642 0.000
Y 0.000 0.000 0.000

## Properties
The calculation puts the density of states at the Fermi level at 0.58 states/eV/atom. As for the formation energy from raw total energies: -0.4186 eV per atom.


[2]
Computed, not measured: a relaxed structure of TcSnGe2 at the PBE level of DFT.

a b c (Å): 3.154 3.154 9.399
angles (deg): 80.34 80.34 60.00
Fractional coordinates of all 4 atoms:
Tc 0.500 0.500 0.500
Ge 0.102 0.102 0.693
Ge 0.898 0.898 0.307
Sn 0.000 0.000 0.000

## Properties
Its formation energy from the elements is 0.128 eV/f.u. The calculation puts the density of states at the Fermi level at 0.69 states/eV/atom.


[3]
Computed, not measured: a relaxed structure of NiP2CS at the PBE level of DFT.

a b c (Å): 3.926 3.926 4.108
angles (deg): 90.00 90.00 90.00
Fractional coordinates of all 5 atoms:
P 0.500 0.000 0.000
P 0.000 0.500 0.000
S 0.000 0.000 0.500
C 0.000 0.000 0.000
Ni 0.500 0.500 0.500

## Properties
The value obtained for the energy above the most stable polymorph in this dataset is 0 meV per atom. The calculation puts the density of states at the Fermi level at 0.50 states/eV/atom. As for the formation energy from raw total energies: 1.1851 eV per atom.


[4]
Computed, not measured: a relaxed structure of FeSn2Rh at the PBE level of DFT.

a b c (Å): 4.569 4.569 4.569
angles (deg): 60.00 60.00 60.00
Fractional coordinates of all 4 atoms:
Sn 0.250 0.250 0.250
Sn 0.750 0.750 0.750
Fe 0.000 0.000 0.000
Rh 0.500 0.500 0.500

## Properties
Its formation energy from the elements is -0.154 eV/f.u. The calculation puts the density of states at the Fermi level at 0.53 states/eV/atom.


[5]
Computed, not measured: a relaxed structure of Dy2CoAgC at the PBE level of DFT.

a b c (Å): 3.646 5.023 5.023
angles (deg): 90.00 90.00 90.00
Fractional coordinates of all 5 atoms:
Co 0.500 0.000 0.000
Dy 0.000 0.500 0.000
Dy 0.000 0.000 0.500
Ag 0.500 0.500 0.500
C 0.000 0.000 0.000

## Properties
Its formation energy from the elements is -1.840 eV/f.u. The calculation puts the density of states at the Fermi level at 0.51 states/eV/atom.


[6]
Computed, not measured: a relaxed structure of NbOs2O at the PBE level of DFT.

a b c (Å): 4.678 4.678 6.998
angles (deg): 70.47 70.47 90.00
Fractional coordinates of all 8 atoms:
Os 0.375 0.507 0.750
Os 0.493 0.125 0.250
Os 0.875 0.743 0.750
Os 0.257 0.625 0.250
Nb 0.000 0.000 0.000
Nb 0.750 0.250 0.500
O 0.250 0.750 0.500
O 0.500 0.500 0.000

## Properties
The calculation puts the density of states at the Fermi level at 0.91 states/eV/atom. As for the formation energy from raw total energies: 0.4875 eV per atom.


[7]
Computed, not measured: a relaxed structure of La2TaN3O at the PBE level of DFT.

a b c (Å): 4.009 4.084 7.038
angles (deg): 106.87 106.55 90.00
Fractional coordinates of all 7 atoms:
O 0.500 0.000 0.000
N 0.000 0.500 0.000
N 0.166 0.166 0.332
N 0.834 0.834 0.668
La 0.649 0.649 0.299
La 0.351 0.351 0.701
Ta 0.000 0.000 0.000

## Properties
The calculation puts the density of states at the Fermi level at 0.01 states/eV/atom. As for the formation energy from raw total energies: -1.7741 eV per atom.


[8]
Computed, not measured: a relaxed structure of Al2AgMo at the PBE level of DFT.

a b c (Å): 5.490 5.490 5.490
angles (deg): 148.41 132.10 58.52
Fractional coordinates of all 4 atoms:
Al 0.746 0.246 0.500
Al 0.003 0.003 0.000
Ag 0.246 0.746 0.500
Mo 0.506 0.506 0.000

## Properties
Its formation energy from the elements is 0.013 eV/f.u. The value obtained for the energy above the most stable polymorph in this dataset is 110 meV per atom. The calculation puts the density of states at the Fermi level at 0.60 states/eV/atom.